# 1
First-principles (PBE-GGA) data for a geometry-optimized SrTlTc2O structure, as listed in the Alexandria database.

POSCAR file:
```
SrTlTc2O
1.0
5.5699 0.0000 0.0000
0.0000 4.4065 0.0000
0.0000 0.0000 5.5699
Sr Tl Tc O
1 1 2 1
direct
0.0000 0.0000 0.0000
0.5000 0.5000 0.5000
0.0000 0.0000 0.5000
0.5000 0.0000 0.0000
0.0000 0.5000 0.0000
```

Magnetization = 7.15 Bohr magnetons per cell
Raw total energy = -4.3388 eV per atom
N(E_F) = 5.9 states/eV/f.u.
Calculated volume = 27.341 A^3/atom

---

# 2
First-principles (PBE-GGA) data for a geometry-optimized SrTl3Tc2O9 structure, as listed in the Alexandria database.

POSCAR file:
```
SrTl3Tc2O9
1.0
5.8822 0.0000 0.0000
-2.9411 5.0941 0.0000
0.0000 0.0000 7.7029
Sr Tl Tc O
1 3 2 9
direct
0.0000 0.0000 0.5000
0.3333 0.6667 0.7134
0.0000 0.0000 0.0000
0.6667 0.3333 0.2866
0.3333 0.6667 0.1593
0.6667 0.3333 0.8407
0.8183 0.1817 0.7155
0.8183 0.6367 0.7155
0.3633 0.1817 0.7155
0.6367 0.8183 0.2845
0.1817 0.3633 0.2845
0.1817 0.8183 0.2845
0.5000 0.0000 0.0000
0.0000 0.5000 0.0000
0.5000 0.5000 0.0000
```

Magnetization = 0.00 Bohr magnetons per cell
Raw total energy = -6.2846 eV per atom
N(E_F) = 5.6 states/eV/f.u.
Calculated volume = 15.388 A^3/atom

---

# 3
First-principles (PBE-GGA) data for a geometry-optimized SrTlTcO4 structure, as listed in the Alexandria database.

POSCAR file:
```
SrTlTcO4
1.0
6.6214 0.0000 0.4504
0.0000 6.1015 0.0000
-2.1047 0.0000 7.3952
Sr Tl Tc O
2 2 2 8
direct
0.8101 0.7500 0.4136
0.1899 0.2500 0.5864
0.7252 0.7500 0.8789
0.2748 0.2500 0.1211
0.3020 0.7500 0.3576
0.6980 0.2500 0.6424
0.8956 0.4763 0.6615
0.1044 0.9763 0.3385
0.1044 0.5237 0.3385
0.8956 0.0237 0.6615
0.4608 0.7500 0.1919
0.5392 0.2500 0.8081
0.4733 0.7500 0.5771
0.5267 0.2500 0.4229
```

Magnetization = 4.00 Bohr magnetons per cell
Raw total energy = -6.5184 eV per atom
Calculated volume = 21.754 A^3/atom

---

# 4
First-principles (PBE-GGA) data for a geometry-optimized SrTmTcO6 structure, as listed in the Alexandria database.

POSCAR file:
```
SrTmTcO6
1.0
5.5003 0.0000 0.0000
2.7502 4.7634 0.0001
0.0001 -0.0002 5.2650
Sr Tm Tc O
1 1 1 6
direct
0.0000 0.0000 0.0000
0.6666 0.6667 0.5000
0.3333 0.3333 0.5000
0.0402 0.3504 0.2935
0.3504 0.0403 0.7065
0.6093 0.3504 0.7065
0.0402 0.6094 0.7065
0.3504 0.6093 0.2935
0.6093 0.0403 0.2935
```

Magnetization = 0.00 Bohr magnetons per cell
Raw total energy = -7.4546 eV per atom
Calculated volume = 15.327 A^3/atom

---

# 5
First-principles (PBE-GGA) data for a geometry-optimized SrTmTc2O8 structure, as listed in the Alexandria database.

POSCAR file:
```
SrTmTc2O8
1.0
5.8816 0.0000 0.0000
-2.9408 5.0937 0.0000
0.0000 0.0000 7.1090
Sr Tm Tc O
1 1 2 8
direct
0.0000 0.0000 0.0000
0.0000 0.0000 0.5000
0.6667 0.3333 0.2154
0.3333 0.6667 0.7846
0.3333 0.6667 0.0333
0.3241 0.1622 0.2931
0.8378 0.1619 0.2931
0.6667 0.3333 0.9667
0.1622 0.8381 0.7069
0.6759 0.8378 0.7069
0.1619 0.3241 0.7069
0.8381 0.6759 0.2931
```

Magnetization = 3.00 Bohr magnetons per cell
Raw total energy = -7.6132 eV per atom
N(E_F) = 8.1 states/eV/f.u.
Calculated volume = 17.748 A^3/atom